No. 1
{
  "formula": "CdFeSi3",
  "functional": "PBE",
  "state": "relaxed",
  "cell": [[4.448, 0.000, 0.000], [0.000, 4.448, 0.000], [0.000, 0.000, 4.448]],
  "species": ["Cd", "Fe", "Si", "Si", "Si"],
  "frac_coords": [[0.000, 0.000, 0.000], [0.500, 0.500, 0.500], [0.000, 0.500, 0.500], [0.500, 0.000, 0.500], [0.500, 0.500, 0.000]],
  "mass_density_kg_m3": 4764,
  "polymorph_energy_mev_per_atom": 0
}

***

No. 2
{
  "formula": "CdFeSi",
  "functional": "PBE",
  "state": "relaxed",
  "cell": [[-1.487, 1.487, 5.014], [1.487, -1.487, 5.014], [1.487, 1.487, -5.014]],
  "species": ["Cd", "Fe", "Si"],
  "frac_coords": [[0.000, 0.000, 0.000], [0.304, 0.304, 0.000], [0.710, 0.710, 0.000]],
  "mass_density_kg_m3": 7352,
  "polymorph_energy_mev_per_atom": 0
}

***

No. 3
{
  "formula": "CdFeSi",
  "functional": "PBE",
  "state": "relaxed",
  "cell": [[0.000, 2.906, 2.906], [2.906, 0.000, 2.906], [2.906, 2.906, 0.000]],
  "species": ["Cd", "Fe", "Si"],
  "frac_coords": [[0.000, 0.000, 0.000], [0.250, 0.250, 0.250], [0.500, 0.500, 0.500]],
  "mass_density_kg_m3": 6646,
  "polymorph_energy_mev_per_atom": 299
}

***

No. 4
{
  "formula": "Ta2CdFeSi",
  "functional": "PBE",
  "state": "relaxed",
  "cell": [[4.948, 0.000, 0.000], [0.000, 4.948, 0.000], [0.000, 0.000, 4.498]],
  "species": ["Ta", "Ta", "Cd", "Fe", "Si"],
  "frac_coords": [[0.000, 0.500, 0.000], [0.500, 0.000, 0.000], [0.000, 0.000, 0.000], [0.000, 0.000, 0.500], [0.500, 0.500, 0.500]],
  "mass_density_kg_m3": 8416,
  "total_energy_ev_per_fu": -27.8
}

***

No. 5
{
  "formula": "SmCdFe",
  "functional": "PBE",
  "state": "relaxed",
  "cell": [[6.706, -1.904, 0.000], [6.706, 1.904, 0.000], [-1.216, 0.000, 5.131]],
  "species": ["Sm", "Sm", "Cd", "Cd", "Fe", "Fe"],
  "frac_coords": [[0.135, 0.135, 0.321], [0.865, 0.865, 0.679], [0.426, 0.426, 0.216], [0.574, 0.574, 0.784], [0.230, 0.230, 0.890], [0.770, 0.770, 0.110]],
  "mass_density_kg_m3": 8073,
  "delta_e_f_kj_per_mol_atoms": -4.9
}

***

No. 6
{
  "formula": "Sm2CdFe",
  "functional": "PBE",
  "state": "relaxed",
  "cell": [[3.516, 0.000, 0.000], [0.000, 3.516, 0.000], [0.000, 0.000, 7.850]],
  "species": ["Sm", "Sm", "Cd", "Fe"],
  "frac_coords": [[0.000, 0.000, 0.213], [0.000, 0.000, 0.787], [0.500, 0.500, 0.500], [0.500, 0.500, 0.000]],
  "mass_density_kg_m3": 8025,
  "delta_e_f_kj_per_mol_atoms": -4.9,
  "polymorph_energy_mev_per_atom": 0
}

***

No. 7
{
  "formula": "Sm2CdFe",
  "functional": "PBE",
  "state": "relaxed",
  "cell": [[1.629, 0.941, 11.029], [-1.629, 0.941, 11.029], [0.000, -1.881, 11.029]],
  "species": ["Sm", "Sm", "Cd", "Fe"],
  "frac_coords": [[0.082, 0.082, 0.082], [0.918, 0.918, 0.918], [0.500, 0.500, 0.500], [0.000, 0.000, 0.000]],
  "mass_density_kg_m3": 7677,
  "delta_e_f_kj_per_mol_atoms": 51.5,
  "polymorph_energy_mev_per_atom": 585
}

***

No. 8
{
  "formula": "TbSmCdFe",
  "functional": "PBE",
  "state": "relaxed",
  "cell": [[0.000, 3.626, 3.626], [3.626, 0.000, 3.626], [3.626, 3.626, 0.000]],
  "species": ["Tb", "Sm", "Cd", "Fe"],
  "frac_coords": [[0.000, 0.000, 0.000], [0.500, 0.500, 0.500], [0.750, 0.750, 0.750], [0.250, 0.250, 0.250]],
  "mass_density_kg_m3": 8316,
  "delta_e_f_kj_per_mol_atoms": 1.8
}

***

No. 9
{
  "formula": "CdFeSn2",
  "functional": "PBE",
  "state": "relaxed",
  "cell": [[-2.275, 2.275, 9.106], [2.275, -2.275, 9.106], [2.275, 2.275, -9.106]],
  "species": ["Cd", "Cd", "Fe", "Fe", "Sn", "Sn", "Sn", "Sn"],
  "frac_coords": [[0.000, 0.000, 0.000], [0.750, 0.250, 0.500], [0.250, 0.750, 0.500], [0.500, 0.500, 0.000], [0.164, 0.625, 0.039], [0.375, 0.414, 0.539], [0.586, 0.125, 0.961], [0.875, 0.836, 0.461]],
  "mass_density_kg_m3": 7145,
  "delta_e_f_kj_per_mol_atoms": 38.7
}

***

No. 10
{
  "formula": "Cd2FeSn",
  "functional": "PBE",
  "state": "relaxed",
  "cell": [[1.502, 0.867, 11.391], [-1.502, 0.867, 11.391], [0.000, -1.735, 11.391]],
  "species": ["Cd", "Cd", "Fe", "Sn"],
  "frac_coords": [[0.079, 0.079, 0.079], [0.921, 0.921, 0.921], [0.000, 0.000, 0.000], [0.500, 0.500, 0.500]],
  "mass_density_kg_m3": 7445,
  "delta_e_f_kj_per_mol_atoms": 51.6
}

***

No. 11
{
  "formula": "CdFeSn3",
  "functional": "PBE",
  "state": "relaxed",
  "cell": [[4.999, 0.000, 0.000], [0.000, 4.999, 0.000], [0.000, 0.000, 4.999]],
  "species": ["Cd", "Fe", "Sn", "Sn", "Sn"],
  "frac_coords": [[0.000, 0.000, 0.000], [0.500, 0.500, 0.500], [0.000, 0.500, 0.500], [0.500, 0.000, 0.500], [0.500, 0.500, 0.000]],
  "mass_density_kg_m3": 6972,
  "delta_e_f_kj_per_mol_atoms": 14.6,
  "polymorph_energy_mev_per_atom": 0
}

***

No. 12
{
  "formula": "Cd2FeSn2",
  "functional": "PBE",
  "state": "relaxed",
  "cell": [[7.029, 0.000, 0.000], [0.000, 7.029, 0.000], [0.000, 0.000, 4.716]],
  "species": ["Cd", "Cd", "Cd", "Cd", "Fe", "Fe", "Sn", "Sn", "Sn", "Sn"],
  "frac_coords": [[0.158, 0.342, 0.000], [0.342, 0.842, 0.000], [0.658, 0.158, 0.000], [0.842, 0.658, 0.000], [0.000, 0.000, 0.500], [0.500, 0.500, 0.500], [0.160, 0.660, 0.500], [0.340, 0.160, 0.500], [0.660, 0.840, 0.500], [0.840, 0.340, 0.500]],
  "mass_density_kg_m3": 7385,
  "delta_e_f_kj_per_mol_atoms": 30.3
}

***

No. 13
{
  "formula": "CdFe4Sn",
  "functional": "PBE",
  "state": "relaxed",
  "cell": [[0.000, 3.537, 3.537], [3.537, 0.000, 3.537], [3.537, 3.537, 0.000]],
  "species": ["Cd", "Fe", "Fe", "Fe", "Fe", "Sn"],
  "frac_coords": [[0.000, 0.000, 0.000], [0.375, 0.375, 0.375], [0.375, 0.375, 0.876], [0.375, 0.876, 0.375], [0.876, 0.375, 0.375], [0.750, 0.750, 0.750]],
  "mass_density_kg_m3": 8531,
  "delta_e_f_kj_per_mol_atoms": 19.3
}

***

No. 14
{
  "formula": "Cd2Fe2Sn",
  "functional": "PBE",
  "state": "relaxed",
  "cell": [[6.516, 0.000, 0.000], [0.000, 6.516, 0.000], [0.000, 0.000, 4.282]],
  "species": ["Cd", "Cd", "Cd", "Cd", "Fe", "Fe", "Fe", "Fe", "Sn", "Sn"],
  "frac_coords": [[0.165, 0.335, 0.000], [0.335, 0.835, 0.000], [0.665, 0.165, 0.000], [0.835, 0.665, 0.000], [0.125, 0.625, 0.500], [0.375, 0.125, 0.500], [0.625, 0.875, 0.500], [0.875, 0.375, 0.500], [0.000, 0.000, 0.500], [0.500, 0.500, 0.500]],
  "mass_density_kg_m3": 8316,
  "delta_e_f_kj_per_mol_atoms": 25.6
}

***

No. 15
{
  "formula": "CdFe3Sn",
  "functional": "PBE",
  "state": "relaxed",
  "cell": [[4.817, 0.000, 0.000], [0.000, 4.817, 0.000], [0.000, 0.000, 4.817]],
  "species": ["Cd", "Fe", "Fe", "Fe", "Sn"],
  "frac_coords": [[0.000, 0.000, 0.000], [0.000, 0.500, 0.500], [0.500, 0.000, 0.500], [0.500, 0.500, 0.000], [0.500, 0.500, 0.500]],
  "mass_density_kg_m3": 5924,
  "delta_e_f_kj_per_mol_atoms": 122.6,
  "polymorph_energy_mev_per_atom": 0
}